Crystalline Li4ZrPt at its relaxed geometry, computed with GGA-PBE.

Summary:
Energy of formation, eV/f.u.: -0.89
VASP energy, eV per atom: -3.86

Cell lengths 4.971, 4.971, 4.971 Å; angles 60.00, 60.00, 60.00 degrees
Element x y z (fractional)
Li1 0.378 0.378 0.865
Li2 0.378 0.378 0.378
Li3 0.865 0.378 0.378
Li4 0.378 0.865 0.378
Zr1 0.000 0.000 0.000
Pt1 0.750 0.750 0.750

Crystalline LiZr2Pt at its relaxed geometry, computed with GGA-PBE.

Summary:
Energy of formation, eV/f.u.: -1.42
VASP energy, eV per atom: -6.62

Cell lengths 5.037, 5.037, 3.007 Å; angles 89.98, 89.98, 104.91 degrees
Element x y z (fractional)
Zr1 0.000 0.000 0.000
Zr2 0.500 0.500 0.000
Pt1 0.000 0.500 0.500
Li1 0.500 0.000 0.500

Crystalline LiZrPt at its relaxed geometry, computed with GGA-PBE.

Summary:
Energy of formation, eV/f.u.: -1.66
VASP energy, eV per atom: -6.05

Cell lengths 4.470, 4.470, 2.902 Å; angles 90.00, 90.00, 120.00 degrees
Element x y z (fractional)
Li1 0.000 0.000 0.102
Pt1 0.667 0.333 0.234
Zr1 0.333 0.667 0.664

Crystalline Li2ZrPt at its relaxed geometry, computed with GGA-PBE.

Summary:
Energy of formation, eV/f.u.: -0.75
VASP energy, eV per atom: -4.79

Cell lengths 9.901, 9.901, 9.901 Å; angles 16.53, 16.53, 16.53 degrees
Element x y z (fractional)
Li1 0.487 0.487 0.487
Li2 0.013 0.013 0.013
Zr1 0.250 0.250 0.250
Pt1 0.750 0.750 0.750

Crystalline LiZr2Pt at its relaxed geometry, computed with GGA-PBE.

Summary:
Energy of formation, eV/f.u.: -1.88
VASP energy, eV per atom: -6.73

Cell lengths 3.366, 3.366, 6.605 Å; angles 90.00, 90.00, 90.00 degrees
Element x y z (fractional)
Pt1 0.500 0.500 0.729
Li1 0.000 0.000 0.540
Zr1 0.500 0.500 0.268
Zr2 0.000 0.000 0.964

Crystalline Li2ZrPt at its relaxed geometry, computed with GGA-PBE.

Summary:
Energy of formation, eV/f.u.: -1.52
VASP energy, eV per atom: -4.98

Cell lengths 3.439, 3.439, 6.308 Å; angles 90.00, 90.00, 90.00 degrees
Element x y z (fractional)
Pt1 0.000 0.000 0.507
Li1 0.000 0.000 0.047
Li2 0.500 0.500 0.246
Zr1 0.500 0.500 0.700

Crystalline LiZrPt2 at its relaxed geometry, computed with GGA-PBE.

Summary:
Energy of formation, eV/f.u.: -2.66
VASP energy, eV per atom: -6.30

Cell lengths 2.887, 4.199, 5.493 Å; angles 90.00, 90.00, 90.00 degrees
Element x y z (fractional)
Zr1 0.000 0.000 0.482
Pt1 0.000 0.000 0.957
Pt2 0.500 0.500 0.266
Li1 0.500 0.500 0.795

Crystalline LiZrPt at its relaxed geometry, computed with GGA-PBE.

Summary:
Energy of formation, eV/f.u.: -1.80
VASP energy, eV per atom: -6.10

Cell lengths 3.517, 3.517, 4.900 Å; angles 111.03, 111.03, 90.00 degrees
Element x y z (fractional)
Li1 0.290 0.290 0.581
Pt1 0.955 0.955 0.910
Zr1 0.605 0.605 0.210